(1)
# CuF3 | Alexandria via LeMat-Bulk | PBE | relaxed
data_CuF3
_space_group_name_H-M_alt 'I m m 2'
_space_group_IT_number 44
_cell_length_a 2.776
_cell_length_b 8.033
_cell_length_c 4.377
_cell_angle_alpha 90.00
_cell_angle_beta 90.00
_cell_angle_gamma 90.00
loop_
_space_group_symop_operation_xyz
'x,y,z'
'-x,-y,z'
'-x,y,z'
'x,-y,z'
'x+1/2,y+1/2,z+1/2'
'-x+1/2,-y+1/2,z+1/2'
'-x+1/2,y+1/2,z+1/2'
'x+1/2,-y+1/2,z+1/2'
loop_
_atom_site_label
_atom_site_fract_x
_atom_site_fract_y
_atom_site_fract_z
Cu1 0.000 0.000 0.000
F1 0.000 0.340 0.499
F2 0.000 0.500 0.999
# Raw total energy: -3.41 eV/atom
# Volume: 12.20 A^3/atom
# Uncorrected formation energy: -3.939 eV per formula unit

***

(2)
# LiCa2SN | Alexandria via LeMat-Bulk | PBE | relaxed
data_LiCa2SN
_space_group_name_H-M_alt 'P 4/m m m'
_space_group_IT_number 123
_space_group_name_Hall '-P 4 2'
_cell_length_a 4.772
_cell_length_b 4.772
_cell_length_c 3.926
_cell_angle_alpha 90.00
_cell_angle_beta 90.00
_cell_angle_gamma 90.00
loop_
_atom_site_label
_atom_site_fract_x
_atom_site_fract_y
_atom_site_fract_z
Li1 0.000 0.000 0.000
Ca1 0.000 0.500 0.500
S1 0.500 0.500 0.000
N1 0.000 0.000 0.500
# Raw total energy: -4.89 eV/atom
# Volume: 17.88 A^3/atom
# Uncorrected formation energy: -6.069 eV per formula unit

***

(3)
# RbBeSCl2 | Alexandria via LeMat-Bulk | PBE | relaxed
data_RbBeSCl2
_space_group_name_H-M_alt 'P 4/m m m'
_space_group_IT_number 123
_space_group_name_Hall '-P 4 2'
_cell_length_a 5.163
_cell_length_b 5.163
_cell_length_c 4.184
_cell_angle_alpha 90.00
_cell_angle_beta 90.00
_cell_angle_gamma 90.00
loop_
_atom_site_label
_atom_site_fract_x
_atom_site_fract_y
_atom_site_fract_z
Rb1 0.000 0.000 0.000
Be1 0.500 0.500 0.500
S1 0.500 0.500 0.000
Cl1 0.000 0.500 0.500
# Raw total energy: -3.38 eV/atom
# Volume: 22.31 A^3/atom
# Uncorrected formation energy: -4.383 eV per formula unit
# Relative energy among the computed polymorphs: 0.000 eV per atom

***

(4)
# PmCd7Hg12 | Alexandria via LeMat-Bulk | PBE | relaxed
data_PmCd7Hg12
_space_group_name_H-M_alt 'R -3'
_space_group_IT_number 148
_space_group_name_Hall '-R 3'
_cell_length_a 14.0398
_cell_length_b 14.0398
_cell_length_c 9.0070
_cell_angle_alpha 90.00
_cell_angle_beta 90.00
_cell_angle_gamma 120.00
loop_
_atom_site_label
_atom_site_fract_x
_atom_site_fract_y
_atom_site_fract_z
Pm1 0.0000 0.0000 0.0000
Cd1 0.0000 0.0000 0.5000
Cd2 0.0652 0.4861 0.6233
Hg1 0.0068 0.2492 0.5756
Hg2 0.0272 0.1675 0.2624
# Raw total energy: -0.77 eV/atom
# Formation enthalpy at 0 K: -0.03 eV per atom
# Volume: 25.63 A^3/atom
# Relative energy among the computed polymorphs: 0.004 eV per atom

***

Which of these has the highest volume?
PmCd7Hg12